# 1
# Li2ZrMn

A geometry-optimized Li2ZrMn structure (PBE, the Alexandria database).

Cell: 2.8174 4.6758 5.2232 Å, 90.00 90.00 90.00°
Last column: nearest neighbours and their distance in Å.
Space group Pmmm (No. 47)
One atom of each set of equivalent atoms:
Li 0.0000 0.0000 0.2312  1 Li 2.42
Zr 0.5000 0.5000 0.5000  2 Mn 2.61, 2 Zr 2.82
Mn 0.5000 0.5000 0.0000  2 Zr 2.61, 2 Mn 2.82

Distance to the lowest polymorph of the same formula in meV/atom: 181
Spin magnetization in μB/f.u.: 2.9
Calculated volume in Å³/cell: 68.8
DFT formation energy in eV/atom: 0.3688
E in eV/cell: -20.07
DOS at the Fermi energy in states/eV/atom: 0.97

---

# 2
# Ba2InHg

A geometry-optimized Ba2InHg structure (PBE, the Alexandria database).

Cell: 13.5636 4.1130 5.9125 Å, 90.00 115.71 90.00°
Last column: nearest neighbours and their distance in Å.
Space group Cm (No. 8)
One atom of each set of equivalent atoms:
Ba 0.0000 0.0000 0.0000  4 Hg 3.65, 2 Ba 3.78, 2 In 3.86
Ba 0.1929 0.0000 0.6928  2 Hg 3.62, 4 In 3.71, 2 Ba 3.78
In 0.2669 0.5000 0.2667  2 Hg 3.03
Hg 0.4493 0.0000 0.4494  2 In 3.03

Spin magnetization in μB/f.u.: 0.0
Calculated volume in Å³/cell: 297.2
DFT formation energy in eV/atom: -0.3999
E in eV/cell: -16.97
DOS at the Fermi energy in states/eV/atom: 0.48

---

Q: What is the DOS at the Fermi energy in the second record?
A: 0.48 states/eV/atom

---

Please write out number 1 again, unchanged.
# Li2ZrMn

A geometry-optimized Li2ZrMn structure (PBE, the Alexandria database).

Cell: 2.8174 4.6758 5.2232 Å, 90.00 90.00 90.00°
Last column: nearest neighbours and their distance in Å.
Space group Pmmm (No. 47)
One atom of each set of equivalent atoms:
Li 0.0000 0.0000 0.2312  1 Li 2.42
Zr 0.5000 0.5000 0.5000  2 Mn 2.61, 2 Zr 2.82
Mn 0.5000 0.5000 0.0000  2 Zr 2.61, 2 Mn 2.82

Distance to the lowest polymorph of the same formula in meV/atom: 181
Spin magnetization in μB/f.u.: 2.9
Calculated volume in Å³/cell: 68.8
DFT formation energy in eV/atom: 0.3688
E in eV/cell: -20.07
DOS at the Fermi energy in states/eV/atom: 0.97

---

Copy entry 2 word for word.
# Ba2InHg

A geometry-optimized Ba2InHg structure (PBE, the Alexandria database).

Cell: 13.5636 4.1130 5.9125 Å, 90.00 115.71 90.00°
Last column: nearest neighbours and their distance in Å.
Space group Cm (No. 8)
One atom of each set of equivalent atoms:
Ba 0.0000 0.0000 0.0000  4 Hg 3.65, 2 Ba 3.78, 2 In 3.86
Ba 0.1929 0.0000 0.6928  2 Hg 3.62, 4 In 3.71, 2 Ba 3.78
In 0.2669 0.5000 0.2667  2 Hg 3.03
Hg 0.4493 0.0000 0.4494  2 In 3.03

Spin magnetization in μB/f.u.: 0.0
Calculated volume in Å³/cell: 297.2
DFT formation energy in eV/atom: -0.3999
E in eV/cell: -16.97
DOS at the Fermi energy in states/eV/atom: 0.48

---

Repeat the first record exactly.
# Li2ZrMn

A geometry-optimized Li2ZrMn structure (PBE, the Alexandria database).

Cell: 2.8174 4.6758 5.2232 Å, 90.00 90.00 90.00°
Last column: nearest neighbours and their distance in Å.
Space group Pmmm (No. 47)
One atom of each set of equivalent atoms:
Li 0.0000 0.0000 0.2312  1 Li 2.42
Zr 0.5000 0.5000 0.5000  2 Mn 2.61, 2 Zr 2.82
Mn 0.5000 0.5000 0.0000  2 Zr 2.61, 2 Mn 2.82

Distance to the lowest polymorph of the same formula in meV/atom: 181
Spin magnetization in μB/f.u.: 2.9
Calculated volume in Å³/cell: 68.8
DFT formation energy in eV/atom: 0.3688
E in eV/cell: -20.07
DOS at the Fermi energy in states/eV/atom: 0.97